Record 1
DFT (PBE) results for an optimized crystal structure of Ba3Al2CdSn9.

Its crystal system is trigonal. For the total energy, the calculation gives -3.48 eV/atom.

It has space group P-3m1 (No. 164), with a = 7.0394 Å, b = 7.0394 Å, c = 12.0847 Å, α = 90.00°, β = 90.00° and γ = 120.00°. The asymmetric unit holds Ba at (0.0000, 0.0000, 0.0000), Ba at (0.3333, 0.6667, 0.7309), Al at (0.3333, 0.6667, 0.1634), Cd at (0.0000, 0.0000, 0.5000), Sn at (0.0000, 0.5000, 0.0000) and Sn at (0.1921, 0.3841, 0.3537).

Record 2
DFT (PBE) results for an optimized crystal structure of ScCu5.

Its crystal system is monoclinic. For the total energy, the calculation gives -4.55 eV/atom.

It has space group C2/m (No. 12), with a = 8.467 Å, b = 3.701 Å, c = 5.460 Å, α = 90.00°, β = 107.93° and γ = 90.00°. The asymmetric unit holds Sc at (0.000, 0.000, 0.000), Cu at (0.000, 0.000, 0.500), Cu at (0.165, 0.500, 0.815) and Cu at (0.175, 0.500, 0.348).

Record 3
DFT (PBE) results for an optimized crystal structure of Nd5Sm8Sn.

Its crystal system is monoclinic. For the total energy, the calculation gives -4.57 eV/atom.

It has space group C2 (No. 5), with a = 14.737 Å, b = 8.996 Å, c = 10.418 Å, α = 90.00°, β = 134.90° and γ = 90.00°. The asymmetric unit holds Nd at (0.000, 0.000, 0.000), Nd at (0.065, 0.362, 0.911), Nd at (0.153, 0.638, 0.218), Sm at (0.020, 0.067, 0.679), Sm at (0.158, 0.432, 0.638), Sm at (0.160, 0.710, 0.909), Sm at (0.250, 0.289, 0.410) and Sn at (0.000, 0.749, 0.500).

Record 4
DFT (PBE) results for an optimized crystal structure of HoLuNb4.

Its crystal system is cubic. For the total energy, the calculation gives -8.07 eV/atom.

It has space group F-43m (No. 216), with a = 8.059 Å, b = 8.059 Å, c = 8.059 Å, α = 90.00°, β = 90.00° and γ = 90.00°. The asymmetric unit holds Ho at (0.000, 0.000, 0.000), Lu at (0.250, 0.250, 0.250) and Nb at (0.125, 0.125, 0.625).

Record 5
DFT (PBE) results for an optimized crystal structure of BeTcOs2.

Its crystal system is orthorhombic. For the total energy, the calculation gives -9.07 eV/atom.

It has space group Pmm2 (No. 25), with a = 2.735 Å, b = 3.839 Å, c = 5.086 Å, α = 90.00°, β = 90.00° and γ = 90.00°. The asymmetric unit holds Be at (0.000, 0.000, 0.000), Tc at (0.500, 0.500, 0.757), Os at (0.000, 0.000, 0.498) and Os at (0.500, 0.500, 0.223).

Record 6
DFT (PBE) results for an optimized crystal structure of Rb2HfUO6.

Its crystal system is cubic. The uncorrected formation energy is -2.8761 eV/atom.

It has space group Fm-3m (No. 225), with a = 8.477 Å, b = 8.477 Å, c = 8.477 Å, α = 90.00°, β = 90.00° and γ = 90.00°. The asymmetric unit holds Rb at (0.250, 0.250, 0.250), Hf at (0.000, 0.000, 0.000), U at (0.000, 0.000, 0.500) and O at (0.000, 0.000, 0.250).

Record 7
DFT (PBE) results for an optimized crystal structure of Ca2MnMo.

Its crystal system is monoclinic. For the total energy, the calculation gives -5.63 eV/atom.

It has space group Pm (No. 6), with a = 3.314 Å, b = 3.316 Å, c = 8.820 Å, α = 90.00°, β = 90.08° and γ = 90.00°. The asymmetric unit holds Ca at (0.000, 0.000, 0.000), Ca at (0.498, 0.500, 0.383), Mn at (0.999, 0.000, 0.637) and Mo at (0.499, 0.500, 0.737).

Record 8
DFT (PBE) results for an optimized crystal structure of Y5Ru2Rh.

Its crystal system is tetragonal. For the total energy, the calculation gives -7.71 eV/atom.

It has space group I4/mcm (No. 140), with a = 7.336 Å, b = 7.336 Å, c = 14.205 Å, α = 90.00°, β = 90.00° and γ = 90.00°. The asymmetric unit holds Y at (0.000, 0.000, 0.000), Y at (0.176, 0.324, 0.143), Ru at (0.123, 0.377, 0.500) and Rh at (0.000, 0.000, 0.250).

Record 9
DFT (PBE) results for an optimized crystal structure of Cs4TbPa3O12.

Its crystal system is cubic. The uncorrected formation energy is -2.7840 eV/atom.

It has space group Im-3m (No. 229), with a = 8.965 Å, b = 8.965 Å, c = 8.965 Å, α = 90.00°, β = 90.00° and γ = 90.00°. The asymmetric unit holds Cs at (0.250, 0.250, 0.250), Tb at (0.000, 0.000, 0.000), Pa at (0.000, 0.000, 0.500), O at (0.000, 0.000, 0.264) and O at (0.000, 0.250, 0.500).

Record 10
DFT (PBE) results for an optimized crystal structure of Cs2ZnC.

Its crystal system is tetragonal. For the total energy, the calculation gives -2.38 eV/atom.

It has space group I-42d (No. 122), with a = 13.380 Å, b = 13.380 Å, c = 3.792 Å, α = 90.00°, β = 90.00° and γ = 90.00°. The asymmetric unit holds Cs at (0.030, 0.250, 0.125), Zn at (0.000, 0.000, 0.500) and C at (0.000, 0.000, 0.000).

Record 11
DFT (PBE) results for an optimized crystal structure of RuW4.

Its crystal system is cubic. For the total energy, the calculation gives -10.69 eV/atom.

It has space group Im-3m (No. 229), with a = 5.783 Å, b = 5.783 Å, c = 5.783 Å, α = 90.00°, β = 90.00° and γ = 90.00°. The asymmetric unit holds Ru at (0.000, 0.000, 0.000) and W at (0.250, 0.250, 0.250).

Record 12
DFT (PBE) results for an optimized crystal structure of Li3WSe.

Its crystal system is cubic. The uncorrected formation energy is 0.5782 eV/atom.

It has space group Pm-3m (No. 221), with a = 4.807 Å, b = 4.807 Å, c = 4.807 Å, α = 90.00°, β = 90.00° and γ = 90.00°. The asymmetric unit holds Li at (0.000, 0.000, 0.500), W at (0.500, 0.500, 0.500) and Se at (0.000, 0.000, 0.000).